1.
Compound: P3SeN
Source: the Alexandria database
Functional: GGA-PBE
Structure: optimized geometry

Computed properties:
Crystal system   monoclinic
V   28.7 Å³/atom
Offset from the most stable computed form   200 meV/atom
DFT total energy   -5.3082 eV per atom

abc: 11.1288 6.0308 4.7126
angles: 90.00 114.86 90.00
Space group Cm (No. 8)
Asymmetric unit:
P: 0.0000 0.0000 0.0000 x2
P: 0.3560 0.2774 0.6577 x4
Se: 0.4990 0.0000 0.6607 x2
N: 0.4397 0.5000 0.5617 x2

2.
Compound: P3SeN
Source: the Alexandria database
Functional: GGA-PBE
Structure: optimized geometry

Computed properties:
Crystal system   monoclinic
V   23.1 Å³/atom
Offset from the most stable computed form   29 meV/atom
DFT total energy   -5.4789 eV per atom

abc: 11.9329 3.4248 5.6450
angles: 90.00 90.89 90.00
Space group Cm (No. 8)
Asymmetric unit:
P: 0.0000 0.0000 0.0000 x2
P: 0.0081 0.5000 0.2692 x2
P: 0.2868 0.0000 0.5707 x2
Se: 0.3117 0.5000 0.9025 x2
N: 0.3844 0.0000 0.3936 x2

3.
Compound: P3SeN
Source: the Alexandria database
Functional: GGA-PBE
Structure: optimized geometry

Computed properties:
Crystal system   triclinic
V   24.3 Å³/atom
Offset from the most stable computed form   53 meV/atom
DFT total energy   -5.4552 eV per atom

abc: 4.2692 4.9722 5.8912
angles: 91.50 96.81 101.70
Space group P1 (No. 1)
Asymmetric unit:
P: 0.0000 0.0000 0.0000 x1
P: 0.1103 0.1029 0.6495 x1
P: 0.5355 0.6781 0.8396 x1
Se: 0.6819 0.7310 0.4841 x1
N: 0.2989 0.9263 0.8500 x1